Entry 1:
Sc5Cd2Ni2Rh after structural relaxation, computed with PBE.

Properties
D(E_F) = 6.9 states/eV/f.u.
ΔE_f = -0.473 eV/atom

Lattice parameters (Å, degrees): 10.833 10.833 3.288 90.00 90.00 90.00
Space group P4/mbm (No. 127)
Asymmetric unit:
Sc1 0.000 0.500 0.000 [2 per cell]
Sc2 0.071 0.197 0.000 [8 per cell]
Cd1 0.173 0.673 0.500 [4 per cell]
Ni1 0.132 0.368 0.500 [4 per cell]
Rh1 0.000 0.000 0.500 [2 per cell]



Entry 2:
Zn3Cd2Ag5 after structural relaxation, computed with PBE.

Properties
D(E_F) = 2.6 states/eV/f.u.
ΔE_f = -0.018 eV/atom

Lattice parameters (Å, degrees): 9.881 13.212 5.418 90.00 92.50 90.00
Space group C2/c (No. 15)
Asymmetric unit:
Zn1 0.000 0.026 0.250 [4 per cell]
Zn2 0.128 0.360 0.623 [8 per cell]
Cd1 0.123 0.258 0.113 [8 per cell]
Ag1 0.000 0.463 0.250 [4 per cell]
Ag2 0.123 0.156 0.597 [8 per cell]
Ag3 0.239 0.043 0.005 [8 per cell]



Entry 3:
Hf2Zr3Sn2 after structural relaxation, computed with PBE.

Properties
D(E_F) = 5.5 states/eV/f.u.
ΔE_f = -0.154 eV/atom
ΔE to the lowest computed polymorph = 0.0 meV/atom

Lattice parameters (Å, degrees): 15.559 3.194 7.289 90.00 117.48 90.00
Space group C2/m (No. 12)
Asymmetric unit:
Hf1 0.152 0.000 0.475 [4 per cell]
Zr1 0.000 0.000 0.000 [2 per cell]
Zr2 0.212 0.000 0.133 [4 per cell]
Sn1 0.068 0.500 0.737 [4 per cell]



Entry 4:
Ta6TiW after structural relaxation, computed with PBE.

Properties
D(E_F) = 7.3 states/eV/f.u.
ΔE_f = 0.019 eV/atom
ΔE to the lowest computed polymorph = 21.9 meV/atom

Lattice parameters (Å, degrees): 7.4306 7.4306 9.0798 90.00 90.00 120.00
Space group R-3 (No. 148, hexagonal axes)
Asymmetric unit:
Ta1 0.0011 0.2504 0.2505 [18 per cell]
Ti1 0.0000 0.0000 0.0000 [3 per cell]
W1 0.0000 0.0000 0.5000 [3 per cell]



Entry 5:
Y2AlCu after structural relaxation, computed with PBE.

Properties
D(E_F) = 3.6 states/eV/f.u.
ΔE_f = -0.114 eV/atom

Lattice parameters (Å, degrees): 4.265 4.265 9.923 90.00 90.00 90.00
Space group I-4m2 (No. 119)
Asymmetric unit:
Y1 0.000 0.000 0.000 [2 per cell]
Y2 0.000 0.500 0.250 [2 per cell]
Al1 0.000 0.500 0.750 [2 per cell]
Cu1 0.000 0.000 0.500 [2 per cell]



Entry 6:
InRuBr2 after structural relaxation, computed with PBE.

Properties
D(E_F) = 3.4 states/eV/f.u.
Raw formation energy = 269 meV/atom
ΔE to the lowest computed polymorph = 353.8 meV/atom

Lattice parameters (Å, degrees): 3.350 6.489 9.709 90.00 90.00 90.00
Space group Cmmm (No. 65)
Asymmetric unit:
In1 0.000 0.000 0.000 [2 per cell]
Ru1 0.000 0.000 0.500 [2 per cell]
Br1 0.000 0.500 0.307 [4 per cell]



Entry 7:
Na3Ni4Sb4 after structural relaxation, computed with PBE.

Properties
D(E_F) = 8.3 states/eV/f.u.
Raw formation energy = -253 meV/atom

Lattice parameters (Å, degrees): 7.729 7.729 7.729 90.00 90.00 90.00
Space group I-43m (No. 217)
Asymmetric unit:
Na1 0.000 0.000 0.500 [6 per cell]
Ni1 0.125 0.125 0.125 [8 per cell]
Sb1 0.192 0.192 0.808 [8 per cell]



Entry 8:
Mn2NbTlIr after structural relaxation, computed with PBE.

Properties
D(E_F) = 5.6 states/eV/f.u.
ΔE_f = 1.696 eV/atom

Lattice parameters (Å, degrees): 4.531 4.531 5.284 90.00 90.00 90.00
Space group P4/mmm (No. 123)
Asymmetric unit:
Mn1 0.000 0.500 0.000 [2 per cell]
Nb1 0.000 0.000 0.000 [1 per cell]
Tl1 0.000 0.000 0.500 [1 per cell]
Ir1 0.500 0.500 0.500 [1 per cell]



Entry 9:
Pm4SiBi after structural relaxation, computed with PBE.

Properties
D(E_F) = 9.0 states/eV/f.u.
Raw formation energy = -326 meV/atom

Lattice parameters (Å, degrees): 7.637 7.382 7.234 90.00 91.13 90.00
Space group P2_1/c (No. 14)
Asymmetric unit:
Pm1 0.134 0.161 0.340 [4 per cell]
Pm2 0.325 0.637 0.367 [4 per cell]
Si1 0.000 0.000 0.000 [2 per cell]
Bi1 0.500 0.000 0.500 [2 per cell]



Entry 10:
Ba2ScSe after structural relaxation, computed with PBE.

Properties
D(E_F) = 4.6 states/eV/f.u.
Raw formation energy = -405 meV/atom

Lattice parameters (Å, degrees): 7.353 9.288 4.028 90.00 90.00 90.00
Space group Cmmm (No. 65)
Asymmetric unit:
Ba1 0.250 0.250 0.000 [4 per cell]
Sc1 0.000 0.000 0.500 [2 per cell]
Se1 0.000 0.500 0.500 [2 per cell]



Entry 11:
SrY2Zn after structural relaxation, computed with PBE.

Properties
D(E_F) = 5.9 states/eV/f.u.
ΔE_f = -0.070 eV/atom

Lattice parameters (Å, degrees): 3.675 3.675 9.478 90.00 90.00 90.00
Space group P4/mmm (No. 123)
Asymmetric unit:
Sr1 0.000 0.000 0.000 [1 per cell]
Y1 0.500 0.500 0.323 [2 per cell]
Zn1 0.000 0.000 0.500 [1 per cell]



Entry 12:
LiSbCl6 after structural relaxation, computed with PBE.

Properties
D(E_F) = 0.0 states/eV/f.u.
Raw formation energy = -949 meV/atom
ΔE to the lowest computed polymorph = 0.0 meV/atom

Lattice parameters (Å, degrees): 7.644 11.637 7.072 90.00 118.94 90.00
Space group C2/m (No. 12)
Asymmetric unit:
Li1 0.000 0.000 0.000 [2 per cell]
Sb1 0.000 0.000 0.500 [2 per cell]
Cl1 0.007 0.146 0.751 [8 per cell]
Cl2 0.145 0.500 0.324 [4 per cell]



Entry 13:
KSiAu3 after structural relaxation, computed with PBE.

Properties
D(E_F) = 0.0 states/eV/f.u.
Raw formation energy = 285 meV/atom

Lattice parameters (Å, degrees): 8.3944 8.3944 12.5670 90.00 90.00 120.00
Space group R-3c (No. 167, hexagonal axes)
Asymmetric unit:
K1 0.0000 0.0000 0.0000 [6 per cell]
Si1 0.0000 0.0000 0.2500 [6 per cell]
Au1 0.0000 0.2769 0.2500 [18 per cell]



It is found that the size of the total moment values, taken in the order of the records, are 0.0 0.0 0.0 0.0 0.0 3.3 0.0 5.1 2.4 3.1 0.0 0.0 0.0 μB per cell.
It is found that the uncorrected energy values, taken in the order of the records, are -5.71 -2.01 -7.80 -11.48 -5.31 -3.57 -4.21 -6.23 -5.04 -3.82 -4.04 -3.09 -2.99 eV per atom.
It is found that the calculated volume values, taken in the order of the records, are 386 707 321 434 181 211 462 108 408 275 128 550 767 Å³/cell.